Record 1
PmHoGeRu: optimized geometry, PBE-GGA.

Properties
DFT formation energy = -0.5928 eV/atom
total magnetization = 0.00 μB/f.u.
relative energy among the computed polymorphs = 0 meV/atom
space group = Amm2 (38)

a = 3.857 Å, b = 5.943 Å, c = 5.943 Å
α = 42.44°, β = 90.00°, γ = 90.00°
Sites, in units of the cell vectors:
Pm: 0.000 0.000 0.000
Ho: 0.500 0.719 0.719
Ge: 0.500 0.415 0.415
Ru: 0.000 0.265 0.265

---

Record 2
CaPuRe4: optimized geometry, PBE-GGA.

Properties
DFT formation energy = 0.1490 eV/atom
total magnetization = 5.94 μB/f.u.
space group = F-43m (216)

a = 5.414 Å, b = 5.414 Å, c = 5.414 Å
α = 60.00°, β = 60.00°, γ = 60.00°
Sites, in units of the cell vectors:
Ca: 0.000 0.000 0.000
Pu: 0.750 0.750 0.750
Re: 0.375 0.375 0.375
Re: 0.375 0.375 0.876
Re: 0.375 0.876 0.375
Re: 0.876 0.375 0.375

---

Record 3
FeCu23Pd6: optimized geometry, PBE-GGA.

Properties
DFT formation energy = 0.0255 eV/atom
total magnetization = 3.70 μB/f.u.
space group = Fm-3m (225)

a = 8.194 Å, b = 8.194 Å, c = 8.194 Å
α = 60.00°, β = 60.00°, γ = 60.00°
Sites, in units of the cell vectors:
Fe: 0.000 0.000 0.000
Cu: 0.000 0.000 0.500
Cu: 0.000 0.500 0.000
Cu: 0.000 0.500 0.500
Cu: 0.135 0.622 0.622
Cu: 0.164 0.164 0.164
Cu: 0.164 0.164 0.508
Cu: 0.164 0.508 0.164
Cu: 0.378 0.378 0.378
Cu: 0.378 0.378 0.865
Cu: 0.378 0.865 0.378
Cu: 0.492 0.836 0.836
Cu: 0.500 0.000 0.000
Cu: 0.500 0.000 0.500
Cu: 0.500 0.500 0.000
Cu: 0.500 0.500 0.500
Cu: 0.508 0.164 0.164
Cu: 0.622 0.135 0.622
Cu: 0.622 0.622 0.135
Cu: 0.622 0.622 0.622
Cu: 0.836 0.492 0.836
Cu: 0.836 0.836 0.492
Cu: 0.836 0.836 0.836
Cu: 0.865 0.378 0.378
Pd: 0.222 0.222 0.778
Pd: 0.222 0.778 0.222
Pd: 0.222 0.778 0.778
Pd: 0.778 0.222 0.222
Pd: 0.778 0.222 0.778
Pd: 0.778 0.778 0.222

---

Record 4
CaHfP: optimized geometry, PBE-GGA.

Properties
DFT formation energy = -0.8492 eV/atom
total magnetization = 0.00 μB/f.u.
space group = P4/nmm (129)

a = 4.104 Å, b = 4.104 Å, c = 7.766 Å
α = 90.00°, β = 90.00°, γ = 90.00°
Sites, in units of the cell vectors:
Ca: 0.250 0.250 0.149
Ca: 0.750 0.750 0.851
Hf: 0.250 0.750 0.500
Hf: 0.750 0.250 0.500
P: 0.250 0.250 0.746
P: 0.750 0.750 0.254

---

Record 5
CdSi7: optimized geometry, PBE-GGA.

Properties
total magnetization = 0.00 μB/f.u.
formation energy from raw total energies = 609 meV per atom
space group = Fm-3m (225)

a = 5.684 Å, b = 5.684 Å, c = 5.684 Å
α = 60.00°, β = 60.00°, γ = 60.00°
Sites, in units of the cell vectors:
Cd: 0.000 0.000 0.000
Si: 0.000 0.000 0.500
Si: 0.000 0.500 0.000
Si: 0.000 0.500 0.500
Si: 0.500 0.000 0.000
Si: 0.500 0.000 0.500
Si: 0.500 0.500 0.000
Si: 0.500 0.500 0.500

---

Record 6
Tl3BiF: optimized geometry, PBE-GGA.

Properties
total magnetization = 0.00 μB/f.u.
formation energy from raw total energies = -601 meV per atom
relative energy among the computed polymorphs = 0 meV/atom
space group = Pm-3m (221)

a = 5.281 Å, b = 5.281 Å, c = 5.281 Å
α = 90.00°, β = 90.00°, γ = 90.00°
Sites, in units of the cell vectors:
Tl: 0.000 0.000 0.500
Tl: 0.000 0.500 0.000
Tl: 0.500 0.000 0.000
Bi: 0.500 0.500 0.500
F: 0.000 0.000 0.000

---

Record 7
LaPa2Tc: optimized geometry, PBE-GGA.

Properties
DFT formation energy = 0.0505 eV/atom
total magnetization = 0.00 μB/f.u.
relative energy among the computed polymorphs = 0 meV/atom
space group = P4/mmm (123)

a = 3.557 Å, b = 3.557 Å, c = 7.826 Å
α = 90.00°, β = 90.00°, γ = 90.00°
Sites, in units of the cell vectors:
La: 0.000 0.000 0.000
Pa: 0.500 0.500 0.307
Pa: 0.500 0.500 0.693
Tc: 0.000 0.000 0.500

---

Record 8
TcTePd2W: optimized geometry, PBE-GGA.

Properties
total magnetization = 2.77 μB/f.u.
formation energy from raw total energies = 1602 meV per atom
space group = P4/mmm (123)

a = 4.820 Å, b = 4.820 Å, c = 5.035 Å
α = 90.00°, β = 90.00°, γ = 90.00°
Sites, in units of the cell vectors:
Tc: 0.000 0.000 0.000
Te: 0.500 0.500 0.500
Pd: 0.000 0.500 0.500
Pd: 0.500 0.000 0.500
W: 0.500 0.500 0.000

---

Record 9
ScTa2Fe: optimized geometry, PBE-GGA.

Properties
DFT formation energy = 0.1697 eV/atom
total magnetization = 0.00 μB/f.u.
relative energy among the computed polymorphs = 174 meV/atom
space group = Pmmm (47)

a = 3.202 Å, b = 4.470 Å, c = 4.726 Å
α = 90.00°, β = 90.00°, γ = 90.00°
Sites, in units of the cell vectors:
Sc: 0.000 0.000 0.000
Ta: 0.000 0.500 0.500
Ta: 0.500 0.000 0.500
Fe: 0.500 0.500 0.000

---

Record 10
Tb7Ru2Rh2: optimized geometry, PBE-GGA.

Properties
DFT formation energy = -0.2661 eV/atom
total magnetization = 0.00 μB/f.u.
relative energy among the computed polymorphs = 249 meV/atom
space group = C2/m (12)

a = 6.511 Å, b = 6.511 Å, c = 6.878 Å
α = 90.05°, β = 90.05°, γ = 72.61°
Sites, in units of the cell vectors:
Tb: 0.000 0.000 0.000
Tb: 0.000 0.500 0.276
Tb: 0.000 0.500 0.724
Tb: 0.500 0.000 0.276
Tb: 0.500 0.000 0.724
Tb: 0.500 0.500 0.262
Tb: 0.500 0.500 0.738
Ru: 0.173 0.827 0.500
Ru: 0.827 0.173 0.500
Rh: 0.286 0.286 0.000
Rh: 0.714 0.714 0.000

---

Record 11
CeLuAgOs: optimized geometry, PBE-GGA.

Properties
DFT formation energy = -0.1968 eV/atom
total magnetization = 0.22 μB/f.u.
space group = F-43m (216)

a = 4.958 Å, b = 4.958 Å, c = 4.958 Å
α = 60.00°, β = 60.00°, γ = 60.00°
Sites, in units of the cell vectors:
Ce: 0.000 0.000 0.000
Lu: 0.500 0.500 0.500
Ag: 0.250 0.250 0.250
Os: 0.750 0.750 0.750

---

Record 12
Pr3NdGe4: optimized geometry, PBE-GGA.

Properties
DFT formation energy = -0.6521 eV/atom
total magnetization = 0.00 μB/f.u.
space group = Immm (71)

a = 9.113 Å, b = 9.113 Å, c = 9.113 Å
α = 153.49°, β = 137.60°, γ = 50.71°
Sites, in units of the cell vectors:
Pr: 0.000 0.000 0.000
Pr: 0.304 0.804 0.500
Pr: 0.696 0.196 0.500
Nd: 0.500 0.500 0.000
Ge: 0.058 0.369 0.689
Ge: 0.320 0.631 0.689
Ge: 0.680 0.369 0.311
Ge: 0.942 0.631 0.311

---

Record 13
La12Ag6Sn: optimized geometry, PBE-GGA.

Properties
DFT formation energy = -0.1292 eV/atom
total magnetization = 0.00 μB/f.u.
space group = R-3 (148)

a = 8.270 Å, b = 8.270 Å, c = 8.270 Å
α = 88.64°, β = 88.64°, γ = 88.64°
Sites, in units of the cell vectors:
La: 0.037 0.954 0.312
La: 0.046 0.688 0.963
La: 0.127 0.493 0.355
La: 0.312 0.037 0.954
La: 0.355 0.127 0.493
La: 0.493 0.355 0.127
La: 0.507 0.645 0.873
La: 0.645 0.873 0.507
La: 0.688 0.963 0.046
La: 0.873 0.507 0.645
La: 0.954 0.312 0.037
La: 0.963 0.046 0.688
Ag: 0.240 0.389 0.757
Ag: 0.243 0.760 0.611
Ag: 0.389 0.757 0.240
Ag: 0.611 0.243 0.760
Ag: 0.757 0.240 0.389
Ag: 0.760 0.611 0.243
Sn: 0.500 0.500 0.500

---

Record 14
Na2TaTl: optimized geometry, PBE-GGA.

Properties
DFT formation energy = 1.0839 eV/atom
total magnetization = 2.20 μB/f.u.
relative energy among the computed polymorphs = 0 meV/atom
space group = I-42d (122)

a = 6.690 Å, b = 6.690 Å, c = 6.690 Å
α = 100.83°, β = 100.83°, γ = 128.63°
Sites, in units of the cell vectors:
Na: 0.110 0.625 0.985
Na: 0.375 0.360 0.485
Na: 0.640 0.125 0.015
Na: 0.875 0.890 0.515
Ta: 0.250 0.750 0.500
Ta: 0.500 0.500 0.000
Tl: 0.000 0.000 0.000
Tl: 0.750 0.250 0.500

---

Record 15
PmMgAlIn: optimized geometry, PBE-GGA.

Properties
DFT formation energy = -0.3597 eV/atom
total magnetization = 0.00 μB/f.u.
relative energy among the computed polymorphs = 0 meV/atom
space group = Pmmm (47)

a = 4.503 Å, b = 4.525 Å, c = 4.647 Å
α = 90.00°, β = 90.00°, γ = 90.00°
Sites, in units of the cell vectors:
Pm: 0.000 0.000 0.000
Mg: 0.000 0.500 0.500
Al: 0.500 0.500 0.000
In: 0.500 0.000 0.500

---

Record 16
CeAlPO6: optimized geometry, PBE-GGA.

Properties
total magnetization = 0.00 μB/f.u.
formation energy from raw total energies = -2715 meV per atom
space group = P312 (149)

a = 4.803 Å, b = 4.803 Å, c = 4.863 Å
α = 90.00°, β = 90.00°, γ = 120.00°
Sites, in units of the cell vectors:
Ce: 0.000 0.000 0.000
Al: 0.333 0.667 0.500
P: 0.667 0.333 0.500
O: 0.385 0.026 0.703
O: 0.385 0.359 0.297
O: 0.641 0.026 0.297
O: 0.641 0.615 0.703
O: 0.974 0.359 0.703
O: 0.974 0.615 0.297

---

Record 17
Hf3TcRh2: optimized geometry, PBE-GGA.

Properties
DFT formation energy = -0.8090 eV/atom
total magnetization = 0.00 μB/f.u.
relative energy among the computed polymorphs = 23 meV/atom
space group = P-3m1 (164)

a = 4.616 Å, b = 4.616 Å, c = 5.641 Å
α = 90.00°, β = 90.00°, γ = 120.00°
Sites, in units of the cell vectors:
Hf: 0.000 0.000 0.000
Hf: 0.333 0.667 0.662
Hf: 0.667 0.333 0.338
Tc: 0.000 0.000 0.500
Rh: 0.333 0.667 0.165
Rh: 0.667 0.333 0.835

---

Record 18
LaMg3Pt: optimized geometry, PBE-GGA.

Properties
DFT formation energy = 1.5975 eV/atom
total magnetization = 0.51 μB/f.u.
relative energy among the computed polymorphs = 2132 meV/atom
space group = Pm-3m (221)

a = 5.872 Å, b = 5.872 Å, c = 5.872 Å
α = 90.00°, β = 90.00°, γ = 90.00°
Sites, in units of the cell vectors:
La: 0.000 0.000 0.000
Mg: 0.000 0.000 0.500
Mg: 0.000 0.500 0.000
Mg: 0.500 0.000 0.000
Pt: 0.500 0.500 0.500

---

Record 19
BaAlZn4: optimized geometry, PBE-GGA.

Properties
DFT formation energy = 0.0253 eV/atom
total magnetization = 0.00 μB/f.u.
relative energy among the computed polymorphs = 105 meV/atom
space group = F-43m (216)

a = 5.669 Å, b = 5.669 Å, c = 5.669 Å
α = 60.00°, β = 60.00°, γ = 60.00°
Sites, in units of the cell vectors:
Ba: 0.000 0.000 0.000
Al: 0.250 0.250 0.250
Zn: 0.129 0.624 0.624
Zn: 0.624 0.129 0.624
Zn: 0.624 0.624 0.129
Zn: 0.624 0.624 0.624

---

Record 20
Ce5ScS6: optimized geometry, PBE-GGA.

Properties
total magnetization = 2.47 μB/f.u.
formation energy from raw total energies = -1995 meV per atom
space group = C2/m (12)

a = 6.872 Å, b = 6.872 Å, c = 6.870 Å
α = 99.64°, β = 99.64°, γ = 120.01°
Sites, in units of the cell vectors:
Ce: 0.000 0.000 0.000
Ce: 0.166 0.834 0.500
Ce: 0.330 0.670 0.000
Ce: 0.670 0.330 0.000
Ce: 0.834 0.166 0.500
Sc: 0.500 0.500 0.500
S: 0.101 0.421 0.261
S: 0.262 0.262 0.744
S: 0.421 0.101 0.261
S: 0.579 0.899 0.739
S: 0.738 0.738 0.256
S: 0.899 0.579 0.739